Entry from Alexandria: a geometry-optimized CoCuSN structure (GGA-PBE).

Unit cell a=3.0850 b=3.0850 c=6.1426 alpha=111.42 beta=111.42 gamma=57.25
Last column: nearest neighbours and their distance in Å.
Fractional coordinates of all 4 atoms:
Co: 0.0000 0.0000 0.0000  3 N 1.94-1.95
Cu: 0.6261 0.6261 0.5900  2 N 2.07
S: 0.8165 0.8165 0.2858  3 Co 2.35-2.39, 3 Cu 2.43-2.48
N: 0.2513 0.2513 0.8497  3 Co 1.94-1.95, 2 Cu 2.07

Calculated values
* energy relative to the lowest polymorph listed for this composition: 0.187 eV per atom
* energy relative to the elements, uncorrected: 26 kJ/mol of atoms
* raw total energy: -5.64 eV/atom

Entry from Alexandria: a geometry-optimized CoCuSN structure (GGA-PBE).

Unit cell a=3.1257 b=3.2701 c=5.2237 alpha=90.00 beta=90.00 gamma=90.00
Last column: nearest neighbours and their distance in Å.
Fractional coordinates of all 4 atoms:
Co: 0.0000 0.0000 0.0000  2 N 1.82
Cu: 0.5000 0.5000 0.3878  2 N 1.97
S: 0.5000 0.0000 0.6963  2 Co 2.23, 2 Cu 2.30
N: 0.5000 0.0000 0.1770  2 Co 1.82, 2 Cu 1.97

Calculated values
* energy relative to the lowest polymorph listed for this composition: 0.147 eV per atom
* energy relative to the elements, uncorrected: 23 kJ/mol of atoms
* raw total energy: -5.68 eV/atom